Record 1
VASP calculation (PBE) on a geometry-optimized NdHo2Tm3 structure.

a = 3.4873 Å, b = 10.1603 Å, c = 11.5458 Å
α = 108.25°, β = 98.69°, γ = 90.00°
Closest atoms and distances in Å follow each position.
Fractional positions:
Nd 0.3161 0.9597 0.6321  3 Ho 3.33-3.58, 5 Tm 3.39-3.66, 2 Nd 3.49
Nd 0.6839 0.0403 0.3679  3 Ho 3.33-3.58, 5 Tm 3.39-3.66, 2 Nd 3.49
Ho 0.3072 0.6258 0.6145  1 Nd 3.33, 4 Tm 3.34-3.45, 6 Ho 3.49-3.53
Ho 0.6928 0.3742 0.3855  1 Nd 3.33, 4 Tm 3.34-3.45, 6 Ho 3.49-3.53
Ho 0.9321 0.8582 0.8642  5 Ho 3.49-3.53, 4 Tm 3.54-3.87, 2 Nd 3.58
Ho 0.0679 0.1418 0.1358  5 Ho 3.49-3.53, 4 Tm 3.54-3.87, 2 Nd 3.58
Tm 0.3047 0.2848 0.6094  3 Nd 3.39-3.53, 5 Tm 3.44-3.54, 3 Ho 3.44-3.45
Tm 0.0680 0.7605 0.1359  8 Tm 3.46-3.61, 1 Ho 3.54, 2 Nd 3.66
Tm 0.4409 0.5565 0.8817  8 Tm 3.25-3.61, 3 Ho 3.34-3.59
Tm 0.6953 0.7152 0.3906  3 Nd 3.39-3.53, 5 Tm 3.44-3.54, 3 Ho 3.44-3.45
Tm 0.5591 0.4435 0.1183  8 Tm 3.25-3.61, 3 Ho 3.34-3.59
Tm 0.9320 0.2395 0.8641  8 Tm 3.46-3.61, 1 Ho 3.54, 2 Nd 3.66

Summary:
As for the energy: -0.1629 Ha/atom. As for the crystal system: monoclinic. The polymorph energy (0 for the lowest one) comes out at 99 meV/atom. The symmetry is No. 12. For the energy relative to the elements, the calculation gives 0.742 eV per formula unit. For the density of states at the Fermi level, the calculation gives 1.5272 states/eV/atom.

***

Record 2
VASP calculation (PBE) on a geometry-optimized Al2HgRh2 structure.

a = 7.2934 Å, b = 7.2934 Å, c = 2.9108 Å
α = 90.00°, β = 90.00°, γ = 90.00°
Closest atoms and distances in Å follow each position.
Fractional positions:
Rh 0.1550 0.6550 0.5000  6 Al 2.58-2.59
Rh 0.6550 0.8450 0.5000  6 Al 2.58-2.59
Rh 0.8450 0.3450 0.5000  6 Al 2.58-2.59
Rh 0.3450 0.1550 0.5000  6 Al 2.58-2.59
Hg 0.0000 0.0000 0.0000  4 Al 2.83, 2 Hg 2.91, 8 Rh 3.12
Hg 0.5000 0.5000 0.0000  4 Al 2.83, 2 Hg 2.91, 8 Rh 3.12
Al 0.3631 0.8631 0.0000  6 Rh 2.58-2.59, 1 Al 2.82, 2 Hg 2.83
Al 0.8631 0.6369 0.0000  6 Rh 2.58-2.59, 1 Al 2.82, 2 Hg 2.83
Al 0.6369 0.1369 0.0000  6 Rh 2.58-2.59, 1 Al 2.82, 2 Hg 2.83
Al 0.1369 0.3631 0.0000  6 Rh 2.58-2.59, 1 Al 2.82, 2 Hg 2.83

Summary:
As for the energy: -0.1871 Ha/atom. As for the crystal system: tetragonal. The polymorph energy (0 for the lowest one) comes out at 31 meV/atom. The symmetry is No. 127. For the energy relative to the elements, the calculation gives -2.967 eV per formula unit. For the density of states at the Fermi level, the calculation gives 0.3304 states/eV/atom.